Entry 1:
HoTcO: relaxed, PBE.

The structure in POSCAR format:
```
HoTcO
1.0
-0.534 2.929 1.324
-0.366 -1.389 2.925
7.920 0.821 1.380
Ho Tc O
2 2 2
Direct
0.000 0.500 0.174
0.500 0.000 0.826
0.500 0.000 0.418
0.000 0.500 0.582
0.500 0.000 0.129
0.000 0.500 0.871
```

Output
**Space group**: P4/nmm, No. 129
**E_form (uncorrected)**: -1.8039 eV per atom
**Final energy**: -8.4379 eV per atom

Entry 2:
PmPaNi: relaxed, PBE.

The structure in POSCAR format:
```
PmPaNi
1.0
4.443 0.000 0.000
0.000 4.385 0.000
0.000 -2.192 3.797
Pm Pa Ni
1 1 1
Direct
0.667 0.667 0.333
0.167 0.000 0.000
0.167 0.333 0.667
```

Output
**Space group**: P-6m2, No. 187
**Formation energy from the elements**: 121 meV/atom
**Final energy**: -6.5554 eV per atom
**ΔE to the lowest computed polymorph**: 0.2222 eV/atom

Entry 3:
MnFeAg2: relaxed, PBE.

The structure in POSCAR format:
```
MnFeAg2
1.0
2.803 0.000 0.000
0.000 2.802 0.008
0.000 2.757 7.993
Fe Ag Mn
1 2 1
Direct
0.000 0.485 0.515
0.000 0.012 0.988
0.500 0.232 0.267
0.500 0.771 0.730
```

Output
**Space group**: Pm, No. 6
**Formation energy from the elements**: 256 meV/atom
**Final energy**: -5.5773 eV per atom
**ΔE to the lowest computed polymorph**: 0.0000 eV/atom

Entry 4:
Tb2DyAl3Ga6: relaxed, PBE.

The structure in POSCAR format:
```
Tb2DyAl3Ga6
1.0
-2.570 0.639 -3.108
-3.132 0.131 2.616
2.176 17.220 1.744
Dy Ga Tb Al
1 6 2 3
Direct
0.500 0.500 0.500
0.500 0.000 0.373
0.000 0.000 0.862
0.000 0.000 0.138
0.000 0.500 0.627
0.000 0.500 0.373
0.500 0.000 0.627
0.500 0.500 0.779
0.500 0.500 0.221
0.000 0.000 0.277
0.000 0.000 0.000
0.000 0.000 0.723
```

Output
**Space group**: P4/mmm, No. 123
**Formation energy from the elements**: -179 meV/atom
**Final energy**: -3.7836 eV per atom